(1)
Below is a geometry-optimized Tb6Nd2Y3 structure, with properties calculated at the PBE level.

```
11
Lattice="3.078 -5.339 0.000 3.078 5.339 0.000 -2.078 0.000 11.569" Properties=species:S:1:pos:R:3 pbc="T T T"
Tb 1.020 1.781 2.870
Tb -0.023 0.000 8.697
Tb 1.020 -1.781 2.870
Tb 3.058 1.781 8.699
Tb 4.101 0.000 2.872
Tb 3.058 -1.781 8.699
Nd 2.039 3.559 5.784
Nd 2.039 -3.559 5.784
Y 0.000 0.000 0.000
Y 3.078 1.764 0.000
Y 3.078 -1.764 0.000
```

## Properties
Energy above the most stable polymorph in this dataset, eV/f.u.: 0.00
ΔE_f, meV/atom: 182
Total magnetization, μB per atom: 0.00

***

(2)
Below is a geometry-optimized Tl2AgHg structure, with properties calculated at the PBE level.

```
8
Lattice="4.581 0.000 0.000 0.000 4.581 0.000 0.000 0.000 9.971" Properties=species:S:1:pos:R:3 pbc="T T T"
Tl 0.000 0.000 0.000
Tl 0.000 2.291 2.493
Tl 2.291 0.000 7.478
Tl 2.291 2.291 4.985
Ag 0.000 2.291 7.478
Ag 2.291 0.000 2.493
Hg 0.000 0.000 4.985
Hg 2.291 2.291 0.000
```

## Properties
Energy above the most stable polymorph in this dataset, eV/f.u.: 0.11
ΔE_f, meV/atom: 95
Total magnetization, μB per atom: 0.00

***

(3)
Below is a geometry-optimized TlRe2Cl structure, with properties calculated at the PBE level.

```
12
Lattice="2.959 0.000 0.000 -1.479 2.562 0.000 0.000 0.000 26.711" Properties=species:S:1:pos:R:3 pbc="T T T"
Tl 0.000 0.000 0.000
Tl 0.000 1.708 17.807
Tl 1.479 0.854 8.904
Re 0.000 0.000 6.523
Re 0.000 0.000 20.188
Re 0.000 1.708 11.284
Re 0.000 1.708 24.330
Re 1.479 0.854 2.381
Re 1.479 0.854 15.426
Cl 0.000 0.000 13.355
Cl 0.000 1.708 4.452
Cl 1.479 0.854 22.259
```

## Properties
Energy above the most stable polymorph in this dataset, eV/f.u.: 3.81
Total magnetization, μB per atom: 0.02
Energy relative to the elements, uncorrected, meV/atom: 1172

***

(4)
Below is a geometry-optimized Ce2LuPb structure, with properties calculated at the PBE level.

```
16
Lattice="7.810 0.000 0.000 0.000 7.810 0.000 0.000 0.000 7.810" Properties=species:S:1:pos:R:3 pbc="T T T"
Ce 1.952 1.952 1.952
Ce 1.952 1.952 5.857
Ce 1.952 5.857 1.952
Ce 1.952 5.857 5.857
Ce 5.857 1.952 1.952
Ce 5.857 1.952 5.857
Ce 5.857 5.857 1.952
Ce 5.857 5.857 5.857
Lu 0.000 0.000 0.000
Lu 0.000 3.905 3.905
Lu 3.905 0.000 3.905
Lu 3.905 3.905 0.000
Pb 0.000 0.000 3.905
Pb 0.000 3.905 0.000
Pb 3.905 0.000 0.000
Pb 3.905 3.905 3.905
```

## Properties
Energy above the most stable polymorph in this dataset, eV/f.u.: 0.86
ΔE_f, meV/atom: -35
Total magnetization, μB per atom: 0.83

***

(5)
Below is a geometry-optimized Li3LaBi2S6 structure, with properties calculated at the PBE level.

```
12
Lattice="3.488 -6.096 0.000 3.488 6.096 0.000 -2.206 0.000 6.313" Properties=species:S:1:pos:R:3 pbc="T T T"
Li 0.000 0.000 0.000
Li 3.488 2.311 0.000
Li 3.488 -2.311 0.000
La 2.385 0.000 3.157
Bi 2.385 4.089 3.157
Bi 2.385 -4.089 3.157
S 1.204 2.055 1.512
S 0.004 0.000 4.790
S 1.204 -2.055 1.512
S 3.566 2.055 4.801
S 4.766 0.000 1.523
S 3.566 -2.055 4.801
```

## Properties
Total magnetization, μB per atom: 0.00
Energy relative to the elements, uncorrected, meV/atom: -1111